(1)
ZnPPb2: relaxed, GGA-PBE.

abc: 5.1629 5.1629 5.1629
angles: 60.00 60.00 60.00
Closest atoms and distances in Å follow each position.
Sites, in units of the cell vectors:
Zn  0.0000  0.0000  0.0000  8 Pb 3.16
P  0.5000  0.5000  0.5000  8 Pb 3.16
Pb  0.2500  0.2500  0.2500  4 P 3.16, 4 Zn 3.16
Pb  0.7500  0.7500  0.7500  4 P 3.16, 4 Zn 3.16

Results
- Energy of formation from the pure elements: 0.30 eV per atom
- ΔE to the lowest computed polymorph: 0.212 eV per atom
- Crystal system: cubic
- Space-group type: Fm-3m (225)

---

(2)
TaRhF3: relaxed, GGA-PBE.

abc: 4.2476 4.2476 4.2476
angles: 90.00 90.00 90.00
Closest atoms and distances in Å follow each position.
Sites, in units of the cell vectors:
Ta  0.0000  0.0000  0.0000  12 F 3.00
Rh  0.5000  0.5000  0.5000  6 F 2.12
F  0.0000  0.5000  0.5000  2 Rh 2.12
F  0.5000  0.0000  0.5000  2 Rh 2.12
F  0.5000  0.5000  0.0000  2 Rh 2.12

Results
- ΔE to the lowest computed polymorph: 0.995 eV per atom
- Crystal system: cubic
- Space-group type: Pm-3m (221)

---

(3)
Ce2Zn2HgPd5: relaxed, GGA-PBE.

abc: 9.8741 9.8741 3.8625
angles: 90.00 90.00 90.00
Closest atoms and distances in Å follow each position.
Sites, in units of the cell vectors:
Ce  0.1799  0.3201  0.0000  3 Zn 2.84-3.00, 6 Pd 3.16-3.17
Ce  0.3201  0.8201  0.0000  3 Zn 2.84-3.00, 6 Pd 3.16-3.17
Ce  0.6799  0.1799  0.0000  3 Zn 2.84-3.00, 6 Pd 3.16-3.17
Ce  0.8201  0.6799  0.0000  3 Zn 2.84-3.00, 6 Pd 3.16-3.17
Zn  0.1169  0.6169  0.0000  6 Pd 2.53-2.62
Zn  0.3831  0.1169  0.0000  6 Pd 2.53-2.62
Zn  0.6169  0.8831  0.0000  6 Pd 2.53-2.62
Zn  0.8831  0.3831  0.0000  6 Pd 2.53-2.62
Hg  0.0000  0.0000  0.0000  8 Pd 2.91
Hg  0.5000  0.5000  0.0000  8 Pd 2.91
Pd  0.0000  0.5000  0.5000  4 Zn 2.53
Pd  0.0686  0.7903  0.5000  2 Zn 2.62, 2 Hg 2.91
Pd  0.2097  0.0686  0.5000  2 Zn 2.62, 2 Hg 2.91
Pd  0.2903  0.5686  0.5000  2 Zn 2.62, 2 Hg 2.91
Pd  0.4314  0.2903  0.5000  2 Zn 2.62, 2 Hg 2.91
Pd  0.5000  0.0000  0.5000  4 Zn 2.53
Pd  0.5686  0.7097  0.5000  2 Zn 2.62, 2 Hg 2.91
Pd  0.7097  0.4314  0.5000  2 Zn 2.62, 2 Hg 2.91
Pd  0.7903  0.9314  0.5000  2 Zn 2.62, 2 Hg 2.91
Pd  0.9314  0.2097  0.5000  2 Zn 2.62, 2 Hg 2.91

Results
- Energy of formation from the pure elements: -0.53 eV per atom
- Crystal system: tetragonal
- Space-group type: P4/mbm (127)

---

(4)
Nd12Er7Mg: relaxed, GGA-PBE.

abc: 10.0391 10.0391 10.0391
angles: 109.47 109.47 109.47
Closest atoms and distances in Å follow each position.
Sites, in units of the cell vectors:
Nd  0.0037  0.7527  0.2511  2 Er 2.90
Nd  0.2473  0.2511  0.4984  2 Er 2.90
Nd  0.2473  0.7489  0.9963  2 Er 2.90
Nd  0.2511  0.0037  0.7527  2 Er 2.90
Nd  0.2511  0.4984  0.2473  2 Er 2.90
Nd  0.4984  0.2473  0.2511  2 Er 2.90
Nd  0.5016  0.7527  0.7489  2 Er 2.90
Nd  0.7489  0.5016  0.7527  2 Er 2.90
Nd  0.7489  0.9963  0.2473  2 Er 2.90
Nd  0.7527  0.2511  0.0037  2 Er 2.90
Nd  0.7527  0.7489  0.5016  2 Er 2.90
Nd  0.9963  0.2473  0.7489  2 Er 2.90
Er  0.0000  0.0000  0.5000  6 Nd 2.90
Er  0.0000  0.5000  0.0000  6 Nd 2.90
Er  0.0000  0.5000  0.5000  12 Nd 4.07-4.13
Er  0.5000  0.0000  0.0000  6 Nd 2.90
Er  0.5000  0.0000  0.5000  12 Nd 4.07-4.13
Er  0.5000  0.5000  0.0000  12 Nd 4.07-4.13
Er  0.5000  0.5000  0.5000  6 Nd 2.90
Mg  0.0000  0.0000  0.0000  12 Nd 4.09

Results
- Energy of formation from the pure elements: 0.69 eV per atom
- ΔE to the lowest computed polymorph: 0.551 eV per atom
- Crystal system: cubic
- Space-group type: Im-3 (204)

---

(5)
KNaPbCl6: relaxed, GGA-PBE.

abc: 7.1182 7.1182 13.3475
angles: 90.00 90.00 120.00
Closest atoms and distances in Å follow each position.
Sites, in units of the cell vectors:
K  0.0000  0.0000  0.0000  6 Cl 3.21
K  0.0000  0.0000  0.5000  6 Cl 3.21
Na  0.3333  0.6667  0.2500  6 Cl 2.84
Na  0.6667  0.3333  0.7500  6 Cl 2.84
Pb  0.3333  0.6667  0.7500  6 Cl 2.58
Pb  0.6667  0.3333  0.2500  6 Cl 2.58
Cl  0.0274  0.3822  0.6383  1 Pb 2.58, 1 Na 2.84
Cl  0.0274  0.6452  0.8617  1 Pb 2.58, 1 Na 2.84
Cl  0.3548  0.3822  0.8617  1 Pb 2.58, 1 Na 2.84
Cl  0.3548  0.9726  0.6383  1 Pb 2.58, 1 Na 2.84
Cl  0.3822  0.0274  0.1383  1 Pb 2.58, 1 Na 2.84
Cl  0.3822  0.3548  0.3617  1 Pb 2.58, 1 Na 2.84
Cl  0.6178  0.6452  0.6383  1 Pb 2.58, 1 Na 2.84
Cl  0.6178  0.9726  0.8617  1 Pb 2.58, 1 Na 2.84
Cl  0.6452  0.0274  0.3617  1 Pb 2.58, 1 Na 2.84
Cl  0.6452  0.6178  0.1383  1 Pb 2.58, 1 Na 2.84
Cl  0.9726  0.3548  0.1383  1 Pb 2.58, 1 Na 2.84
Cl  0.9726  0.6178  0.3617  1 Pb 2.58, 1 Na 2.84

Results
- Crystal system: trigonal
- Space-group type: P-31c (163)

---

(6)
MnSbPbS2: relaxed, GGA-PBE.

abc: 5.1053 5.1053 5.9568
angles: 90.00 90.00 90.00
Closest atoms and distances in Å follow each position.
Sites, in units of the cell vectors:
Mn  0.0000  0.0000  0.0000  4 Sb 3.61, 8 S 3.92
Sb  0.5000  0.5000  0.0000  2 Pb 2.98
Pb  0.5000  0.5000  0.5000  4 S 2.55
S  0.0000  0.5000  0.5000  2 Pb 2.55
S  0.5000  0.0000  0.5000  2 Pb 2.55

Results
- Crystal system: tetragonal
- Space-group type: P4/mmm (123)

---

(7)
LiReRh2: relaxed, GGA-PBE.

abc: 3.0715 3.0715 5.7375
angles: 90.00 90.00 90.00
Closest atoms and distances in Å follow each position.
Sites, in units of the cell vectors:
Li  0.0000  0.0000  0.0000  4 Rh 2.42, 4 Re 2.61
Re  0.5000  0.5000  0.2526  5 Rh 2.51-2.60, 4 Li 2.61
Rh  0.0000  0.0000  0.5009  4 Re 2.60, 4 Rh 2.82, 2 Li 2.86-2.87
Rh  0.5000  0.5000  0.8143  4 Li 2.42, 1 Re 2.51

Results
- Energy of formation from the pure elements: 0.18 eV per atom
- Crystal system: tetragonal
- Space-group type: P4mm (99)

---

(8)
Co8Ir: relaxed, GGA-PBE.

abc: 5.6560 5.6560 5.6560
angles: 95.72 95.72 143.18
Closest atoms and distances in Å follow each position.
Sites, in units of the cell vectors:
Co  0.0000  0.3381  0.3381  11 Co 2.46-2.55, 1 Ir 2.57
Co  0.0000  0.6619  0.6619  11 Co 2.46-2.55, 1 Ir 2.57
Co  0.3290  0.3290  0.6581  10 Co 2.46-2.59, 2 Ir 2.56
Co  0.3290  0.6710  0.0000  10 Co 2.46-2.59, 2 Ir 2.56
Co  0.3381  0.0000  0.3381  11 Co 2.46-2.55, 1 Ir 2.57
Co  0.6619  0.0000  0.6619  11 Co 2.46-2.55, 1 Ir 2.57
Co  0.6710  0.3290  0.0000  10 Co 2.46-2.59, 2 Ir 2.56
Co  0.6710  0.6710  0.3419  10 Co 2.46-2.59, 2 Ir 2.56
Ir  0.0000  0.0000  0.0000  12 Co 2.56-2.57

Results
- Energy of formation from the pure elements: 0.03 eV per atom
- Crystal system: tetragonal
- Space-group type: I4/mmm (139)

---

Number 1: V 97.3 Å³ per cell, E_tot -12.9 eV per formula unit, size of the total moment 0.0 μB per formula unit. Number 2: V 76.6 Å³ per cell, E_tot -24.9 eV per formula unit, size of the total moment 3.1 μB per formula unit. Number 3: V 376.6 Å³ per cell, E_tot -46.0 eV per formula unit, size of the total moment 1.9 μB per formula unit. Number 4: V 778.9 Å³ per cell, E_tot -77.0 eV per formula unit, size of the total moment 0.0 μB per formula unit. Number 5: V 585.7 Å³ per cell, E_tot -28.2 eV per formula unit, size of the total moment 0.0 μB per formula unit. Number 6: V 155.3 Å³ per cell, E_tot -20.7 eV per formula unit, size of the total moment 3.9 μB per formula unit. Number 7: V 54.1 Å³ per cell, E_tot -28.3 eV per formula unit, size of the total moment 0.0 μB per formula unit. Number 8: V 102.9 Å³ per cell, E_tot -65.4 eV per formula unit, size of the total moment 14.0 μB per formula unit.